(1)
# Mg2Nb | OQMD | PBE | optimized geometry
# Energy (eV/atom): -4.073
# Size of the total moment (μB per formula unit): 0.01
data_Mg2Nb
_space_group_name_H-M_alt 'C m c m'
_space_group_IT_number 63
_space_group_name_Hall '-C 2c 2'
_cell_length_a 9.3386
_cell_length_b 5.4697
_cell_length_c 4.8006
_cell_angle_alpha 90.00
_cell_angle_beta 90.00
_cell_angle_gamma 90.00
loop_
_atom_site_label
_atom_site_type_symbol
_atom_site_fract_x
_atom_site_fract_y
_atom_site_fract_z
Mg1 Mg 0.1659 0.1499 0.2500
Nb1 Nb 0.0000 0.4021 0.7500



(2)
# ZnTePb | OQMD | PBE | optimized geometry
# Relative energy among the computed polymorphs (meV/atom): 0
data_ZnTePb
_space_group_name_H-M_alt 'P n m a'
_space_group_IT_number 62
_space_group_name_Hall '-P 2ac 2n'
_cell_length_a 10.9495
_cell_length_b 4.2609
_cell_length_c 7.8718
_cell_angle_alpha 90.00
_cell_angle_beta 90.00
_cell_angle_gamma 90.00
loop_
_atom_site_label
_atom_site_type_symbol
_atom_site_fract_x
_atom_site_fract_y
_atom_site_fract_z
Zn1 Zn 0.0234 0.2500 0.2007
Te1 Te 0.1583 0.7500 0.0452
Pb1 Pb 0.1264 0.7500 0.4619



(3)
# SmTl | OQMD | PBE | optimized geometry
# Energy (eV/atom): -2.963
# Size of the total moment (μB per formula unit): 0.07
data_SmTl
_space_group_name_H-M_alt 'F -4 3 m'
_space_group_IT_number 216
_space_group_name_Hall 'F -4 2 3'
_cell_length_a 6.9875
_cell_length_b 6.9875
_cell_length_c 6.9875
_cell_angle_alpha 90.00
_cell_angle_beta 90.00
_cell_angle_gamma 90.00
loop_
_atom_site_label
_atom_site_type_symbol
_atom_site_fract_x
_atom_site_fract_y
_atom_site_fract_z
Sm1 Sm 0.0000 0.0000 0.0000
Tl1 Tl 0.2500 0.2500 0.7500



(4)
# Ho7Pd2Se2 | OQMD | PBE | optimized geometry
# Energy (eV/atom): -5.461
# Size of the total moment (μB per formula unit): 0.00
data_Ho7Pd2Se2
_space_group_name_H-M_alt 'I m m 2'
_space_group_IT_number 44
_space_group_name_Hall 'I 2 -2'
_cell_length_a 3.8651
_cell_length_b 15.2296
_cell_length_c 9.3738
_cell_angle_alpha 90.00
_cell_angle_beta 90.00
_cell_angle_gamma 90.00
loop_
_atom_site_label
_atom_site_type_symbol
_atom_site_fract_x
_atom_site_fract_y
_atom_site_fract_z
Ho1 Ho 0.0000 0.0000 0.0000
Ho2 Ho 0.0000 0.1214 0.4087
Ho3 Ho 0.0000 0.3186 0.6175
Ho4 Ho 0.0000 0.3638 0.2522
Pd1 Pd 0.0000 0.2388 0.9188
Se1 Se 0.0000 0.0000 0.6571
Se2 Se 0.0000 0.5000 0.7558



(5)
# BaFeNiSe3 | OQMD | PBE | optimized geometry
# Size of the total moment (μB per formula unit): 3.37
# Relative energy among the computed polymorphs (meV/atom): 0
data_BaFeNiSe3
_space_group_name_H-M_alt 'C m c m'
_space_group_IT_number 63
_space_group_name_Hall '-C 2c 2'
_cell_length_a 3.8851
_cell_length_b 14.0890
_cell_length_c 9.6595
_cell_angle_alpha 90.00
_cell_angle_beta 90.00
_cell_angle_gamma 90.00
loop_
_atom_site_label
_atom_site_type_symbol
_atom_site_fract_x
_atom_site_fract_y
_atom_site_fract_z
Ba1 Ba 0.0000 0.2455 0.2500
Fe1 Fe 0.0000 0.0000 0.0000
Ni1 Ni 0.0000 0.4659 0.7500
Se1 Se 0.0000 0.0599 0.7500
Se2 Se 0.0000 0.3774 0.5427



(6)
# HfBiPb | OQMD | PBE | optimized geometry
# Size of the total moment (μB per formula unit): 0.03
# Relative energy among the computed polymorphs (meV/atom): 0
data_HfBiPb
_space_group_name_H-M_alt 'F -4 3 m'
_space_group_IT_number 216
_space_group_name_Hall 'F -4 2 3'
_cell_length_a 7.2625
_cell_length_b 7.2625
_cell_length_c 7.2625
_cell_angle_alpha 90.00
_cell_angle_beta 90.00
_cell_angle_gamma 90.00
loop_
_atom_site_label
_atom_site_type_symbol
_atom_site_fract_x
_atom_site_fract_y
_atom_site_fract_z
Hf1 Hf 0.0000 0.0000 0.0000
Bi1 Bi 0.2500 0.2500 0.2500
Pb1 Pb 0.0000 0.0000 0.5000



(7)
# Pr3Mg3InPt2 | OQMD | PBE | optimized geometry
# Energy (eV/atom): -4.427
# Size of the total moment (μB per formula unit): 0.00
data_Pr3Mg3InPt2
_space_group_name_H-M_alt 'P -6 2 m'
_space_group_IT_number 189
_space_group_name_Hall 'P -6 -2'
_cell_length_a 7.6194
_cell_length_b 7.6194
_cell_length_c 4.3747
_cell_angle_alpha 90.00
_cell_angle_beta 90.00
_cell_angle_gamma 120.00
loop_
_atom_site_label
_atom_site_type_symbol
_atom_site_fract_x
_atom_site_fract_y
_atom_site_fract_z
Pr1 Pr 0.0000 0.4266 0.0000
Mg1 Mg 0.0000 0.7460 0.5000
In1 In 0.0000 0.0000 0.0000
Pt1 Pt 0.3333 0.6667 0.5000



(8)
# Nd3DyCu4 | OQMD | PBE | optimized geometry
# Size of the total moment (μB per formula unit): 0.02
# E_form (meV/atom): -199
data_Nd3DyCu4
_space_group_name_H-M_alt 'P 1 m 1'
_space_group_IT_number 6
_space_group_name_Hall 'P -2y'
_cell_length_a 5.5016
_cell_length_b 4.5256
_cell_length_c 7.2517
_cell_angle_alpha 90.00
_cell_angle_beta 90.62
_cell_angle_gamma 90.00
loop_
_atom_site_label
_atom_site_type_symbol
_atom_site_fract_x
_atom_site_fract_y
_atom_site_fract_z
Nd1 Nd 0.0000 0.0000 0.0000
Nd2 Nd 0.2377 0.0000 0.4945
Nd3 Nd 0.5030 0.5000 0.8584
Dy1 Dy 0.7363 0.5000 0.3579
Cu1 Cu 0.2470 0.5000 0.2138
Cu2 Cu 0.5006 0.0000 0.1497
Cu3 Cu 0.7473 0.0000 0.6366
Cu4 Cu 0.9906 0.5000 0.7049